(1)
{"formula": "CsPmPaSe4", "functional": "PBE-GGA", "state": "optimized geometry", "lattice_angstrom": [[9.044, 0.000, 0.000], [-4.522, 7.763, -0.752], [0.000, -4.859, 7.991]], "species": ["Se", "Se", "Se", "Se", "Se", "Se", "Se", "Se", "Pm", "Pm", "Cs", "Cs", "Pa", "Pa"], "fractional_positions": [[0.264, 0.527, 0.320], [0.317, 0.045, 0.273], [0.272, 0.955, 0.727], [0.264, 0.527, 0.708], [0.683, 0.955, 0.727], [0.728, 0.045, 0.273], [0.736, 0.473, 0.292], [0.736, 0.473, 0.680], [0.500, 0.000, 0.000], [0.500, 0.000, 0.500], [0.133, 0.265, 0.883], [0.867, 0.735, 0.117], [0.500, 0.500, 0.500], [0.000, 0.500, 0.500]], "crystal_system": "orthorhombic", "dos_at_fermi_per_ev_cell": 9.8, "raw_formation_energy_kj_per_mol_fu": -996, "final_energy_ev_per_atom": -5.623, "magmom_total_mub_per_atom": 0.146}

(2)
{"formula": "Cs3Tl7Cd2", "functional": "PBE-GGA", "state": "optimized geometry", "lattice_angstrom": [[6.641, 0.000, 2.079], [2.995, 5.928, 2.079], [0.127, 0.078, 11.243]], "species": ["Tl", "Tl", "Tl", "Tl", "Tl", "Tl", "Tl", "Cs", "Cs", "Cs", "Cd", "Cd"], "fractional_positions": [[0.420, 0.925, 0.235], [0.580, 0.075, 0.765], [0.500, 0.500, 0.500], [0.925, 0.420, 0.235], [0.580, 0.580, 0.765], [0.420, 0.420, 0.235], [0.075, 0.580, 0.765], [0.143, 0.143, 0.572], [0.000, 0.000, 0.000], [0.857, 0.857, 0.428], [0.335, 0.335, 0.996], [0.665, 0.665, 0.004]], "crystal_system": "trigonal", "dos_at_fermi_per_ev_cell": 7.5, "formation_energy_ev_per_atom": -0.06, "final_energy_ev_per_atom": -1.805, "magmom_total_mub_per_atom": 0.000}

(3)
{"formula": "TlSb3Au2", "functional": "PBE-GGA", "state": "optimized geometry", "lattice_angstrom": [[-0.463, 3.050, 2.736], [3.675, -3.329, 4.332], [4.773, 3.409, -2.991]], "species": ["Sb", "Sb", "Sb", "Au", "Au", "Tl"], "fractional_positions": [[0.000, 0.245, 0.359], [0.500, 0.236, 0.764], [0.000, 0.641, 0.755], [0.500, 0.528, 0.472], [0.000, 0.042, 0.958], [0.500, 0.809, 0.191]], "crystal_system": "orthorhombic", "dos_at_fermi_per_ev_cell": 2.6, "raw_formation_energy_kj_per_mol_fu": 66, "final_energy_ev_per_atom": -3.435, "magmom_total_mub_per_atom": 0.000}

(4)
{"formula": "Ca2AlRu", "functional": "PBE-GGA", "state": "optimized geometry", "lattice_angstrom": [[4.146, 0.000, 0.000], [0.000, 4.460, -0.001], [0.000, 2.228, 5.519]], "species": ["Ca", "Ca", "Ru", "Al"], "fractional_positions": [[0.500, 0.266, 0.343], [0.000, 0.985, 0.905], [0.000, 0.681, 0.514], [0.500, 0.568, 0.739]], "crystal_system": "orthorhombic", "dos_at_fermi_per_ev_cell": 3.3, "formation_energy_ev_per_atom": -0.09, "final_energy_ev_per_atom": -4.347, "magmom_total_mub_per_atom": 0.000}